# Rb4CoGeSe6 | OQMD | PBE-GGA | relaxed
# final energy: -0.13949 hartree per atom
data_Rb4CoGeSe6
_chemical_formula_sum 'Rb4 Co1 Ge1 Se6'
_cell_length_a 7.0494
_cell_length_b 7.7832
_cell_length_c 9.3577
_cell_angle_alpha 71.74
_cell_angle_beta 68.60
_cell_angle_gamma 63.88
_symmetry_space_group_name_H-M 'P 1'
_symmetry_Int_Tables_number 1
_symmetry_space_group_name_Hall 'P 1'
loop_
_atom_site_label
_atom_site_type_symbol
_atom_site_fract_x
_atom_site_fract_y
_atom_site_fract_z
Rb1 Rb 0.0000 0.0000 0.0000
Rb2 Rb 0.1777 0.3882 0.2545
Rb3 Rb 0.4080 0.7473 0.4494
Rb4 Rb 0.7665 0.6455 0.8061
Co1 Co 0.7075 0.1415 0.4481
Ge1 Ge 0.4641 0.2520 0.8146
Se1 Se 0.2766 0.5749 0.8527
Se2 Se 0.3552 0.1880 0.6213
Se3 Se 0.4774 0.0087 0.0375
Se4 Se 0.7050 0.3621 0.2253
Se5 Se 0.8243 0.2052 0.6262
Se6 Se 0.8902 0.8363 0.3981